Entry from OQMD: a relaxed Hf2Nb2In crystal (PBE-GGA).

a b c (Å): 4.114 4.114 13.262
angles (deg): 90.00 90.00 90.00
Positions (direct):
Hf  0.000  0.500  0.250
Hf  0.000  0.500  0.750
Hf  0.500  0.000  0.250
Hf  0.500  0.000  0.750
Nb  0.000  0.000  0.093
Nb  0.000  0.000  0.907
Nb  0.500  0.500  0.407
Nb  0.500  0.500  0.593
In  0.000  0.000  0.500
In  0.500  0.500  0.000

final energy	-0.584	Ry per atom



Entry from OQMD: a relaxed HfNb2In2 crystal (PBE-GGA).

a b c (Å): 4.018 4.018 12.897
angles (deg): 90.00 90.00 90.00
Positions (direct):
Hf  0.000  0.000  0.000
Hf  0.500  0.500  0.500
Nb  0.000  0.500  0.250
Nb  0.000  0.500  0.750
Nb  0.500  0.000  0.250
Nb  0.500  0.000  0.750
In  0.000  0.000  0.401
In  0.000  0.000  0.599
In  0.500  0.500  0.099
In  0.500  0.500  0.901

final energy	-0.507	Ry per atom